Entry 1:
PmPuCl4 (PBE, optimized geometry); DOS at the Fermi energy = 2.00 states/eV/atom
1.0
7.1272 0.0000 0.0000
0.0000 6.9749 0.0000
-0.3145 0.0000 6.7595
Pm Pu Cl
2 2 8
Cartesian
0.0000 0.0000 0.0000
-0.1572 3.4874 3.3798
3.4064 0.0000 3.3798
3.5636 3.4874 0.0000
0.9250 1.0673 4.4348
1.0823 2.4201 1.0550
2.2615 4.5385 4.2954
2.4187 5.9238 0.9156
4.3940 1.0511 5.8439
4.5513 2.4363 2.4642
5.7305 4.5547 5.7045
5.8878 5.9075 2.3247


Entry 2:
PmPuCl2 (PBE, optimized geometry); DOS at the Fermi energy = 1.92 states/eV/atom
1.0
1.8471 1.0664 9.5996
-1.8471 1.0664 9.5996
0.0000 -2.1328 9.5996
Pm Pu Cl
1 1 2
Cartesian
0.0000 0.0000 0.0000
0.0000 0.0000 14.3994
0.0000 0.0000 2.8271
0.0000 0.0000 25.9718


Entry 3:
PmPu2Cl6 (PBE, optimized geometry); DOS at the Fermi energy = 2.08 states/eV/atom
1.0
7.5812 -1.9755 0.0000
7.5812 1.9755 0.0000
-3.1035 0.0000 9.3240
Pm Pu Cl
1 2 6
Cartesian
0.0000 0.0000 0.0000
3.0224 0.0000 6.2122
9.0364 0.0000 3.1118
-0.5453 0.0000 2.7455
3.4310 0.0000 3.4354
2.4905 0.0000 9.0154
9.5684 0.0000 0.3086
8.6279 0.0000 5.8885
12.6042 0.0000 6.5784


Entry 4:
Pm2PuCl8 (PBE, optimized geometry); DOS at the Fermi energy = 1.30 states/eV/atom
1.0
4.2546 -6.2164 0.0000
4.2546 6.2164 0.0000
-1.3689 0.0000 5.2595
Pm Pu Cl
2 1 8
Cartesian
4.2546 3.9422 0.0000
4.2546 -3.9422 0.0000
3.5701 0.0000 2.6297
0.6640 0.0000 1.6239
1.3529 1.6215 4.8030
3.5701 2.9461 2.6297
1.3529 -1.6215 4.8030
5.7874 1.6215 0.4565
3.5701 -2.9461 2.6297
5.7874 -1.6215 0.4565
6.4762 0.0000 3.6356


Entry 5:
RbPmPuCl6 (PBE, optimized geometry); DOS at the Fermi energy = 1.70 states/eV/atom
1.0
7.2819 0.0000 0.0000
-3.6410 6.3063 0.0000
0.0000 0.0000 14.4161
Rb Pm Pu Cl
2 2 2 12
Cartesian
0.0000 0.0000 0.0000
0.0000 0.0000 7.2081
0.0000 4.2042 3.6040
3.6410 2.1021 10.8121
0.0000 4.2042 10.8121
3.6410 2.1021 3.6040
-1.2976 2.3551 2.0307
-2.2502 4.0050 5.1774
1.2976 2.3551 5.1774
-0.9526 6.2526 2.0307
2.6884 0.0538 9.2387
1.3907 2.3013 12.3855
2.2502 4.0050 2.0307
0.9526 6.2526 5.1774
4.5935 0.0538 12.3855
2.3433 3.9512 9.2387
5.8912 2.3013 9.2387
4.9386 3.9512 12.3855


Entry 6:
PmPuSe2Cl (PBE, optimized geometry); DOS at the Fermi energy = 2.38 states/eV/atom
1.0
4.2351 0.0000 0.0000
0.0000 4.2351 0.0000
0.0000 0.0000 14.2233
Pm Pu Se Cl
2 2 4 2
Cartesian
1.0588 1.0588 1.4648
3.1763 3.1763 12.7585
1.0588 1.0588 9.1189
3.1763 3.1763 5.1044
1.0588 1.0588 4.3182
1.0588 1.0588 12.6331
3.1763 3.1763 1.5902
3.1763 3.1763 9.9051
1.0588 3.1763 7.1116
3.1763 1.0588 7.1116


Entry 7:
PmPuTlCl6 (PBE, optimized geometry); DOS at the Fermi energy = 1.70 states/eV/atom
1.0
7.2617 0.0000 0.0000
-3.6309 6.2888 0.0000
0.0000 0.0000 13.9439
Pm Pu Tl Cl
2 2 2 12
Cartesian
0.0000 4.1926 3.4860
3.6309 2.0963 10.4579
0.0000 4.1926 10.4579
3.6309 2.0963 3.4860
0.0000 0.0000 0.0000
0.0000 0.0000 6.9719
-1.2869 2.3318 1.9208
-2.2549 4.0085 5.0511
1.2869 2.3318 5.0511
-0.9680 6.2374 1.9208
2.6628 0.0514 8.8927
1.3760 2.2804 12.0231
2.2549 4.0085 1.9208
0.9680 6.2374 5.0511
4.5989 0.0514 12.0231
2.3440 3.9570 8.8927
5.8858 2.2804 8.8927
4.9177 3.9570 12.0231


Entry 8:
Rb2PmCl4 (PBE, optimized geometry); DOS at the Fermi energy = 0.46 states/eV/atom
1.0
-2.7466 2.7466 8.4204
2.7466 -2.7466 8.4204
2.7466 2.7466 -8.4204
Rb Pm Cl
2 1 4
Cartesian
0.0000 0.0000 2.3766
0.0000 0.0000 14.4641
0.0000 0.0000 8.4204
2.7466 0.0000 0.0000
0.0000 0.0000 5.6307
0.0000 2.7466 0.0000
0.0000 0.0000 11.2101


Entry 9:
Rb4Pm6Cl19 (PBE, optimized geometry); DOS at the Fermi energy = 0.03 states/eV/atom
1.0
-6.3368 6.3368 6.3368
6.3368 -6.3368 6.3368
6.3368 6.3368 -6.3368
Rb Pm Cl
4 6 19
Cartesian
1.8475 1.8475 -1.8475
1.8475 -1.8475 1.8475
-1.8475 1.8475 1.8475
4.4893 4.4893 4.4893
6.3368 1.8186 0.0000
6.3368 0.0000 4.5182
4.5182 6.3368 0.0000
1.8186 0.0000 6.3368
0.0000 6.3368 1.8186
0.0000 4.5182 6.3368
0.0000 0.0000 0.0000
4.2323 0.0000 0.0000
8.4413 0.0000 0.0000
6.0930 -2.1618 2.7222
8.4986 3.6145 -0.2437
4.1750 3.6145 0.2437
2.7222 6.0930 -2.1618
0.0000 4.2323 0.0000
0.0000 0.0000 4.2323
3.6145 0.2437 4.1750
6.5805 2.1618 2.7222
0.2437 4.1750 3.6145
3.6145 -0.2437 8.4986
0.0000 8.4413 0.0000
0.0000 0.0000 8.4413
2.7222 6.5805 2.1618
-2.1618 2.7222 6.0930
2.1618 2.7222 6.5805
-0.2437 8.4986 3.6145


Entry 10:
Rb3Pm2Cl9 (PBE, optimized geometry); DOS at the Fermi energy = 0.00 states/eV/atom
1.0
6.6993 3.8679 6.1057
-6.6993 3.8679 6.1057
0.0000 -7.7357 6.1057
Rb Pm Cl
6 4 18
Cartesian
-4.5527 -0.1498 7.6321
-2.1466 -4.0177 10.6850
2.4061 -3.8679 7.6321
-2.4061 3.8679 10.6850
2.1466 4.0177 7.6321
4.5527 0.1498 10.6850
0.0000 0.0000 2.6130
0.0000 0.0000 6.5455
0.0000 0.0000 11.7715
0.0000 0.0000 15.7041
-1.4166 -5.7749 7.6588
-5.7095 -1.6606 10.6583
-2.0361 0.0000 4.5793
-1.4166 -1.9609 7.6054
1.0180 -1.7633 4.5793
-4.2929 4.1143 7.6588
1.0180 1.7633 4.5793
-2.4065 0.2464 10.7116
-0.9898 2.2073 7.6054
0.9898 -2.2073 10.7116
2.4065 -0.2464 7.6054
-1.0180 -1.7633 13.7378
4.2929 -4.1143 10.6583
-1.0180 1.7633 13.7378
1.4166 1.9609 10.7116
2.0361 0.0000 13.7378
5.7095 1.6606 7.6588
1.4166 5.7749 10.6583


Entry 11:
Rb4PmCl7 (PBE, optimized geometry); DOS at the Fermi energy = 0.00 states/eV/atom
1.0
12.3473 -2.6948 0.0000
12.3473 2.6948 0.0000
-2.3095 0.0000 7.2030
Rb Pm Cl
4 1 7
Cartesian
2.1151 0.0000 0.2179
3.5100 0.0000 4.9061
18.8752 0.0000 2.2969
20.2701 0.0000 6.9851
11.1926 0.0000 3.6015
-1.1548 0.0000 3.6015
4.8115 0.0000 1.8235
9.2277 0.0000 1.6948
9.2661 0.0000 5.4843
13.1191 0.0000 1.7186
13.1574 0.0000 5.5081
17.5737 0.0000 5.3795


Entry 12:
RbPm2Cl7 (PBE, optimized geometry); DOS at the Fermi energy = 0.00 states/eV/atom
1.0
4.3466 -7.0059 0.0000
4.3466 7.0059 0.0000
0.0000 0.0000 5.4516
Rb Pm Cl
1 2 7
Cartesian
0.0000 0.0000 0.0000
4.3466 2.7592 2.7258
4.3466 -2.7592 2.7258
1.6339 1.9507 2.7258
4.3466 2.9398 0.0000
1.6339 -1.9507 2.7258
4.3466 0.0000 2.7258
7.0593 1.9507 2.7258
4.3466 -2.9398 0.0000
7.0593 -1.9507 2.7258


Sequential magnetization output: 7.01 6.31 12.83 6.02 6.00 5.38 6.00 0.44 3.02 0.00 0.32 0.00 μB per formula unit
Sequential calculated density output: 5.2 6.7 5.0 4.9 3.4 7.6 4.2 3.0 3.1 3.0 2.5 3.1 g/cm3
Sequential energy output: -73.8 -27.4 -60.9 -61.2 -99.3 -72.9 -98.1 -27.3 -128.5 -118.3 -45.9 -45.7 eV for the cell shown